No. 1
# InW2AuI, relaxed, DFT PBE
data_InW2AuI
_cell_length_a 5.100
_cell_length_b 5.828
_cell_length_c 5.100
_cell_angle_alpha 90.00
_cell_angle_beta 90.00
_cell_angle_gamma 90.00
_symmetry_space_group_name_H-M 'P 1'
_symmetry_Int_Tables_number 1
loop_
_symmetry_equiv_pos_as_xyz
'x,y,z'
loop_
_atom_site_label
_atom_site_type_symbol
_atom_site_fract_x
_atom_site_fract_y
_atom_site_fract_z
I1 I 0.000 0.500 0.000
Au1 Au 0.000 0.000 0.000
W1 W 0.000 0.000 0.500
W2 W 0.500 0.000 0.000
In1 In 0.500 0.500 0.500
# electronic total energy	-4.50	eV/atom
# size of the total moment	1.17	μB/atom

No. 2
# ZnIn2AuI, relaxed, DFT PBE
data_ZnIn2AuI
_cell_length_a 5.491
_cell_length_b 5.491
_cell_length_c 5.007
_cell_angle_alpha 90.00
_cell_angle_beta 90.00
_cell_angle_gamma 90.00
_symmetry_space_group_name_H-M 'P 1'
_symmetry_Int_Tables_number 1
loop_
_symmetry_equiv_pos_as_xyz
'x,y,z'
loop_
_atom_site_label
_atom_site_type_symbol
_atom_site_fract_x
_atom_site_fract_y
_atom_site_fract_z
I1 I 0.500 0.500 0.500
Zn1 Zn 0.000 0.000 0.500
Au1 Au 0.000 0.000 0.000
In1 In 0.000 0.500 0.000
In2 In 0.500 0.000 0.000
# electronic total energy	-2.50	eV/atom
# size of the total moment	0.00	μB/atom

No. 3
# IrAuI2, relaxed, DFT PBE
data_IrAuI2
_cell_length_a 6.466
_cell_length_b 6.466
_cell_length_c 7.499
_cell_angle_alpha 64.46
_cell_angle_beta 64.46
_cell_angle_gamma 90.00
_symmetry_space_group_name_H-M 'P 1'
_symmetry_Int_Tables_number 1
loop_
_symmetry_equiv_pos_as_xyz
'x,y,z'
loop_
_atom_site_label
_atom_site_type_symbol
_atom_site_fract_x
_atom_site_fract_y
_atom_site_fract_z
I1 I 0.587 0.125 0.250
I2 I 0.163 0.625 0.250
I3 I 0.375 0.413 0.750
I4 I 0.875 0.837 0.750
Ir1 Ir 0.500 0.500 0.000
Ir2 Ir 0.250 0.750 0.500
Au1 Au 0.000 0.000 0.000
Au2 Au 0.750 0.250 0.500
# electronic total energy	-3.24	eV/atom
# offset from the most stable computed form	0.0	meV/atom
# size of the total moment	0.00	μB/atom

No. 4
# Ir2AuI, relaxed, DFT PBE
data_Ir2AuI
_cell_length_a 7.379
_cell_length_b 7.379
_cell_length_c 5.928
_cell_angle_alpha 51.51
_cell_angle_beta 51.51
_cell_angle_gamma 90.00
_symmetry_space_group_name_H-M 'P 1'
_symmetry_Int_Tables_number 1
loop_
_symmetry_equiv_pos_as_xyz
'x,y,z'
loop_
_atom_site_label
_atom_site_type_symbol
_atom_site_fract_x
_atom_site_fract_y
_atom_site_fract_z
I1 I 0.500 0.500 0.000
I2 I 0.250 0.750 0.500
Ir1 Ir 0.604 0.125 0.250
Ir2 Ir 0.146 0.625 0.250
Ir3 Ir 0.375 0.396 0.750
Ir4 Ir 0.875 0.854 0.750
Au1 Au 0.000 0.000 0.000
Au2 Au 0.750 0.250 0.500
# electronic total energy	-4.60	eV/atom
# offset from the most stable computed form	21.0	meV/atom
# size of the total moment	0.00	μB/atom

No. 5
# IrAuI2, relaxed, DFT PBE
data_IrAuI2
_cell_length_a 5.057
_cell_length_b 5.057
_cell_length_c 5.057
_cell_angle_alpha 60.00
_cell_angle_beta 60.00
_cell_angle_gamma 60.00
_symmetry_space_group_name_H-M 'P 1'
_symmetry_Int_Tables_number 1
loop_
_symmetry_equiv_pos_as_xyz
'x,y,z'
loop_
_atom_site_label
_atom_site_type_symbol
_atom_site_fract_x
_atom_site_fract_y
_atom_site_fract_z
I1 I 0.250 0.250 0.250
I2 I 0.750 0.750 0.750
Ir1 Ir 0.000 0.000 0.000
Au1 Au 0.500 0.500 0.500
# electronic total energy	-2.72	eV/atom
# offset from the most stable computed form	521.5	meV/atom
# size of the total moment	0.00	μB/atom

No. 6
# IrAu2I, relaxed, DFT PBE
data_IrAu2I
_cell_length_a 4.827
_cell_length_b 4.827
_cell_length_c 4.827
_cell_angle_alpha 60.00
_cell_angle_beta 60.00
_cell_angle_gamma 60.00
_symmetry_space_group_name_H-M 'P 1'
_symmetry_Int_Tables_number 1
loop_
_symmetry_equiv_pos_as_xyz
'x,y,z'
loop_
_atom_site_label
_atom_site_type_symbol
_atom_site_fract_x
_atom_site_fract_y
_atom_site_fract_z
I1 I 0.000 0.000 0.000
Ir1 Ir 0.500 0.500 0.500
Au1 Au 0.250 0.250 0.250
Au2 Au 0.750 0.750 0.750
# electronic total energy	-3.25	eV/atom
# offset from the most stable computed form	260.8	meV/atom
# size of the total moment	0.00	μB/atom

No. 7
# IrAu2I, relaxed, DFT PBE
data_IrAu2I
_cell_length_a 7.927
_cell_length_b 7.927
_cell_length_c 6.232
_cell_angle_alpha 50.50
_cell_angle_beta 50.50
_cell_angle_gamma 90.00
_symmetry_space_group_name_H-M 'P 1'
_symmetry_Int_Tables_number 1
loop_
_symmetry_equiv_pos_as_xyz
'x,y,z'
loop_
_atom_site_label
_atom_site_type_symbol
_atom_site_fract_x
_atom_site_fract_y
_atom_site_fract_z
I1 I 0.500 0.500 0.000
I2 I 0.250 0.750 0.500
Ir1 Ir 0.000 0.000 0.000
Ir2 Ir 0.750 0.250 0.500
Au1 Au 0.655 0.125 0.250
Au2 Au 0.095 0.625 0.250
Au3 Au 0.375 0.345 0.750
Au4 Au 0.875 0.905 0.750
# electronic total energy	-3.51	eV/atom
# offset from the most stable computed form	0.0	meV/atom
# size of the total moment	0.00	μB/atom

No. 8
# Ir2AuI, relaxed, DFT PBE
data_Ir2AuI
_cell_length_a 4.654
_cell_length_b 4.654
_cell_length_c 4.654
_cell_angle_alpha 60.00
_cell_angle_beta 60.00
_cell_angle_gamma 60.00
_symmetry_space_group_name_H-M 'P 1'
_symmetry_Int_Tables_number 1
loop_
_symmetry_equiv_pos_as_xyz
'x,y,z'
loop_
_atom_site_label
_atom_site_type_symbol
_atom_site_fract_x
_atom_site_fract_y
_atom_site_fract_z
I1 I 0.000 0.000 0.000
Ir1 Ir 0.250 0.250 0.250
Ir2 Ir 0.750 0.750 0.750
Au1 Au 0.500 0.500 0.500
# electronic total energy	-4.62	eV/atom
# offset from the most stable computed form	0.0	meV/atom
# size of the total moment	0.09	μB/atom

No. 9
# IrAuI3, relaxed, DFT PBE
data_IrAuI3
_cell_length_a 5.407
_cell_length_b 5.407
_cell_length_c 5.407
_cell_angle_alpha 90.00
_cell_angle_beta 90.00
_cell_angle_gamma 90.00
_symmetry_space_group_name_H-M 'P 1'
_symmetry_Int_Tables_number 1
loop_
_symmetry_equiv_pos_as_xyz
'x,y,z'
loop_
_atom_site_label
_atom_site_type_symbol
_atom_site_fract_x
_atom_site_fract_y
_atom_site_fract_z
I1 I 0.000 0.500 0.000
I2 I 0.000 0.000 0.500
I3 I 0.500 0.000 0.000
Ir1 Ir 0.000 0.000 0.000
Au1 Au 0.500 0.500 0.500
# electronic total energy	-2.70	eV/atom
# offset from the most stable computed form	0.0	meV/atom
# size of the total moment	0.00	μB/atom

No. 10
# K2IrAuI, relaxed, DFT PBE
data_K2IrAuI
_cell_length_a 6.397
_cell_length_b 4.886
_cell_length_c 6.397
_cell_angle_alpha 90.00
_cell_angle_beta 90.00
_cell_angle_gamma 90.00
_symmetry_space_group_name_H-M 'P 1'
_symmetry_Int_Tables_number 1
loop_
_symmetry_equiv_pos_as_xyz
'x,y,z'
loop_
_atom_site_label
_atom_site_type_symbol
_atom_site_fract_x
_atom_site_fract_y
_atom_site_fract_z
I1 I 0.000 0.500 0.000
K1 K 0.000 0.000 0.500
K2 K 0.500 0.000 0.000
Ir1 Ir 0.000 0.000 0.000
Au1 Au 0.500 0.500 0.500
# electronic total energy	-2.95	eV/atom
# size of the total moment	0.00	μB/atom

No. 11
# La4IrAuI2, relaxed, DFT PBE
data_La4IrAuI2
_cell_length_a 4.358
_cell_length_b 7.548
_cell_length_c 8.591
_cell_angle_alpha 106.91
_cell_angle_beta 90.00
_cell_angle_gamma 90.00
_symmetry_space_group_name_H-M 'P 1'
_symmetry_Int_Tables_number 1
loop_
_symmetry_equiv_pos_as_xyz
'x,y,z'
loop_
_atom_site_label
_atom_site_type_symbol
_atom_site_fract_x
_atom_site_fract_y
_atom_site_fract_z
La1 La 0.500 0.252 0.191
La2 La 0.500 0.748 0.809
La3 La 0.000 0.281 0.811
La4 La 0.000 0.719 0.189
Ir1 Ir 0.500 0.500 0.000
Au1 Au 0.000 0.000 0.000
I1 I 0.500 0.000 0.500
I2 I 0.000 0.500 0.500
# electronic total energy	-5.39	eV/atom
# size of the total moment	0.00	μB/atom

No. 12
# La6Ir2AuI2, relaxed, DFT PBE
data_La6Ir2AuI2
_cell_length_a 7.483
_cell_length_b 7.483
_cell_length_c 8.370
_cell_angle_alpha 98.14
_cell_angle_beta 98.14
_cell_angle_gamma 119.71
_symmetry_space_group_name_H-M 'P 1'
_symmetry_Int_Tables_number 1
loop_
_symmetry_equiv_pos_as_xyz
'x,y,z'
loop_
_atom_site_label
_atom_site_type_symbol
_atom_site_fract_x
_atom_site_fract_y
_atom_site_fract_z
La1 La 0.706 0.706 0.690
La2 La 0.069 0.416 0.693
La3 La 0.294 0.294 0.310
La4 La 0.416 0.069 0.693
La5 La 0.931 0.584 0.307
La6 La 0.584 0.931 0.307
Ir1 Ir 0.330 0.670 0.500
Ir2 Ir 0.670 0.330 0.500
Au1 Au 0.000 0.000 0.500
I1 I 0.838 0.162 0.000
I2 I 0.162 0.838 0.000
# electronic total energy	-5.77	eV/atom
# size of the total moment	0.00	μB/atom